Record 1
## Cd2FePt (PBE-GGA)

Data for crystalline Cd2FePt at its relaxed geometry.

- magnetization (μB per formula unit) = 3.04
- ΔH_f (0 K) (eV per formula unit) = 0.3
- volume (Å³/atom) = 17.065
- theoretical density (g cm⁻³) = 11.57
- calculated total energy (eV per atom) = -4.0128

```
Cd2FePt
1.0
4.787 -1.456 0.000
4.787 1.456 0.000
-0.927 0.000 4.898
Cd Fe Pt
2 1 1
Direct
0.249 0.249 0.248 Cd
0.751 0.751 0.752 Cd
0.500 0.500 0.000 Fe
0.000 0.000 0.500 Pt
```

***

Record 2
## Nd4Pb2S (PBE-GGA)

Data for crystalline Nd4Pb2S at its relaxed geometry.

- magnetization (μB per formula unit) = 0.00
- uncorrected formation energy (eV per atom) = -0.78
- volume (Å³/atom) = 33.246
- theoretical density (g cm⁻³) = 7.30
- calculated total energy (eV per atom) = -5.1572

```
Nd4Pb2S
1.0
-2.640 2.640 8.349
2.640 -2.640 8.349
2.640 2.640 -8.349
Nd Pb S
4 2 1
Direct
0.000 0.500 0.500 Nd
0.169 0.169 0.000 Nd
0.500 0.000 0.500 Nd
0.831 0.831 0.000 Nd
0.363 0.363 0.000 Pb
0.637 0.637 0.000 Pb
0.000 0.000 0.000 S
```

***

Record 3
## ZrPaSe3 (PBE-GGA)

Data for crystalline ZrPaSe3 at its relaxed geometry.

- energy above the most stable polymorph in this dataset (eV per atom) = 0.1274
- magnetization (μB per formula unit) = 1.02
- uncorrected formation energy (eV per atom) = -1.22
- volume (Å³/atom) = 25.726
- theoretical density (g cm⁻³) = 7.22
- calculated total energy (eV per atom) = -6.9157

```
ZrPaSe3
1.0
8.926 0.000 0.000
0.000 7.650 0.000
-3.733 0.000 7.535
Zr Pa Se
4 4 12
Direct
0.182 0.096 0.055 Zr
0.182 0.404 0.555 Zr
0.818 0.596 0.445 Zr
0.818 0.904 0.945 Zr
0.400 0.709 0.944 Pa
0.400 0.791 0.444 Pa
0.600 0.209 0.556 Pa
0.600 0.291 0.056 Pa
0.127 0.745 0.555 Se
0.127 0.755 0.055 Se
0.235 0.141 0.379 Se
0.235 0.359 0.879 Se
0.489 0.004 0.785 Se
0.489 0.496 0.285 Se
0.511 0.504 0.715 Se
0.511 0.996 0.215 Se
0.765 0.641 0.121 Se
0.765 0.859 0.621 Se
0.873 0.245 0.945 Se
0.873 0.255 0.445 Se
```

***

Record 4
## ZnNiRh4 (PBE-GGA)

Data for crystalline ZnNiRh4 at its relaxed geometry.

- energy above the most stable polymorph in this dataset (eV per atom) = 0.0000
- magnetization (μB per formula unit) = 0.00
- ΔH_f (0 K) (eV per formula unit) = -0.4
- volume (Å³/atom) = 13.680
- theoretical density (g cm⁻³) = 10.84
- calculated total energy (eV per atom) = -6.1443

```
ZnNiRh4
1.0
2.324 -4.000 0.000
2.324 4.000 0.000
-1.464 0.000 4.414
Zn Ni Rh
1 1 4
Direct
0.000 0.000 0.000 Zn
0.500 0.500 0.500 Ni
0.167 0.833 0.500 Rh
0.335 0.665 0.000 Rh
0.665 0.335 0.000 Rh
0.833 0.167 0.500 Rh
```

***

Record 5
## Li2Zn2Cd3 (PBE-GGA)

Data for crystalline Li2Zn2Cd3 at its relaxed geometry.

- magnetization (μB per formula unit) = 0.00
- ΔH_f (0 K) (eV per formula unit) = -0.7
- volume (Å³/atom) = 18.618
- theoretical density (g cm⁻³) = 6.14
- calculated total energy (eV per atom) = -1.4010

```
Li2Zn2Cd3
1.0
5.159 0.000 0.000
-0.063 5.289 0.000
-0.920 -2.489 4.776
Li Zn Cd
2 2 3
Direct
0.012 0.264 0.012 Li
0.988 0.736 0.988 Li
0.114 0.776 0.529 Zn
0.886 0.224 0.471 Zn
0.417 0.345 0.673 Cd
0.500 0.000 0.000 Cd
0.583 0.655 0.327 Cd
```

***

Record 6
## SrLi2MgHg (PBE-GGA)

Data for crystalline SrLi2MgHg at its relaxed geometry.

- energy above the most stable polymorph in this dataset (eV per atom) = 0.1049
- magnetization (μB per formula unit) = 0.00
- ΔH_f (0 K) (eV per formula unit) = -0.5
- volume (Å³/atom) = 28.790
- theoretical density (g cm⁻³) = 3.77
- calculated total energy (eV per atom) = -1.5783

```
SrLi2MgHg
1.0
5.218 0.000 0.000
0.000 5.218 0.000
0.000 0.000 5.287
Sr Li Mg Hg
1 2 1 1
Direct
0.000 0.000 0.000 Sr
0.000 0.500 0.500 Li
0.500 0.000 0.500 Li
0.500 0.500 0.000 Mg
0.500 0.500 0.500 Hg
```